The following is a DFT calculation (PBE) of a geometry-optimized ScFeSiPd structure.

The energy above the most stable polymorph in this dataset is 0 meV/atom.

The space group is F-43m (No. 216) and the conventional cell measures 6.099, 6.099 and 6.099 Å, with angles of 90.00, 90.00 and 90.00 degrees. The inequivalent atoms are Sc at (0.000, 0.000, 0.000), Fe at (0.250, 0.250, 0.750), Si at (0.000, 0.000, 0.500) and Pd at (0.250, 0.250, 0.250).